The following is a PBE calculation of ZrNpU2P4 after structural relaxation, from Alexandria.

a b c (Å): 3.874 6.734 6.736
angles (deg): 109.22 90.00 90.00
Site moments in Bohr magnetons follow the coordinates.
Fractional positions:
U1 0.000 0.500 0.500  1.92
Np1 0.500 0.500 0.000  3.46
P1 0.000 0.755 0.245  -0.08
P2 0.500 0.242 0.243  -0.06
U2 0.500 0.000 0.500  1.80
P3 0.500 0.758 0.757  -0.06
P4 0.000 0.245 0.755  -0.08
Zr1 0.000 0.000 0.000  -0.01

ΔE_f   -1.0738 eV/atom
Electronic total energy   -9.287 eV/atom
Space-group type   P2/m
DOS at the Fermi energy   14.7 states/eV/cell
Mass density   9.29 Mg/m³